No. 1
# Li2TlH

A relaxed structure of Li2TlH (PBE, Alexandria via LeMat-Bulk).

The structure in POSCAR format:
```
Li2TlH
1.0
-1.512 5.256 1.313
-3.009 -1.948 4.334
0.885 1.977 5.153
Tl Li H
2 4 2
direct
0.000 0.000 0.000
0.750 0.250 0.500
0.375 0.575 0.750
0.875 0.675 0.750
0.325 0.625 0.250
0.425 0.125 0.250
0.250 0.750 0.500
0.500 0.500 0.000
```

Calculated values
Space group: I-42d (122)
Excess energy over the best structure of this formula in the dataset (kJ/mol of atoms): 0.00
VASP energy (eV per atom): -2.62

---

No. 2
# Li2TlH

A relaxed structure of Li2TlH (PBE, Alexandria via LeMat-Bulk).

The structure in POSCAR format:
```
Li2TlH
1.0
1.981 -4.116 0.069
-2.427 -3.683 1.187
-1.105 -3.119 -3.149
Li H Tl
2 1 1
direct
0.250 0.250 0.250
0.750 0.750 0.750
0.000 0.000 0.000
0.500 0.500 0.500
```

Calculated values
Space group: Fm-3m (225)
Excess energy over the best structure of this formula in the dataset (kJ/mol of atoms): 48.44
VASP energy (eV per atom): -2.12

---

No. 3
# LiTl3H

A relaxed structure of LiTl3H (PBE, Alexandria via LeMat-Bulk).

The structure in POSCAR format:
```
LiTl3H
1.0
-2.989 -3.477 -1.727
-1.059 -1.366 4.584
-3.735 3.170 0.082
Tl H Li
3 1 1
direct
0.500 0.000 0.000
0.000 0.500 0.000
0.000 0.000 0.500
0.000 0.000 0.000
0.500 0.500 0.500
```

Calculated values
Space group: Pm-3m (221)
Excess energy over the best structure of this formula in the dataset (kJ/mol of atoms): 0.00
VASP energy (eV per atom): -2.30